Record 1
Crystalline Pr4PbSe2S at its relaxed geometry. Source: Alexandria, functional PBE.

Structure (POSCAR):
```
Pr4PbSe2S
1.0
-3.207 1.176 -2.663
-4.992 -1.308 5.434
2.308 7.127 0.367
Pr Pb Se S
4 1 2 1
Direct
0.500 0.265 0.256
0.500 0.735 0.744
0.000 0.264 0.756
0.000 0.736 0.244
0.000 0.000 0.000
0.500 0.000 0.500
0.000 0.500 0.500
0.500 0.500 0.000
```

Output
As for the space-group type: P2/m (10). As for the density of states at the Fermi level: 0.427 states/eV/atom.

=====

Record 2
Crystalline Pr6PbSe2S3 at its relaxed geometry. Source: Alexandria, functional PBE.

Structure (POSCAR):
```
Pr6PbSe2S3
1.0
4.215 0.000 0.000
0.000 8.563 0.267
-2.108 -2.509 8.946
Pr Pb Se S
6 1 2 3
Direct
0.327 0.928 0.653
0.662 0.593 0.323
0.673 0.072 0.347
0.998 0.269 0.996
0.002 0.731 0.004
0.338 0.407 0.677
0.500 0.000 0.000
0.831 0.664 0.661
0.169 0.336 0.339
0.500 0.500 0.000
0.835 0.171 0.669
0.165 0.829 0.331
```

Output
As for the space-group type: C2/m (12). As for the density of states at the Fermi level: 0.435 states/eV/atom.

=====

Record 3
Crystalline Sr2PrPbS4 at its relaxed geometry. Source: Alexandria, functional PBE.

Structure (POSCAR):
```
Sr2PrPbS4
1.0
4.200 0.000 0.000
0.000 7.360 0.146
0.000 -2.556 6.854
Sr Pr Pb S
2 1 1 4
Direct
0.500 0.000 0.500
0.000 0.500 0.500
0.500 0.500 0.000
0.000 0.000 0.000
0.500 0.255 0.246
0.500 0.745 0.754
0.000 0.256 0.756
0.000 0.744 0.244
```

Output
As for the space-group type: P2/m (10). As for the density of states at the Fermi level: 0.383 states/eV/atom.

=====

Record 4
Crystalline Tb4PrPbS8 at its relaxed geometry. Source: Alexandria, functional PBE.

Structure (POSCAR):
```
Tb4PrPbS8
1.0
-7.899 -1.533 -1.447
-4.948 -2.115 6.154
-5.756 5.362 2.645
Tb Pr Pb S
4 1 1 8
Direct
0.626 0.626 0.122
0.002 0.495 0.502
0.495 0.002 0.502
0.002 0.002 0.502
0.002 0.002 0.994
0.373 0.373 0.880
0.244 0.786 0.727
0.786 0.244 0.727
0.244 0.244 0.727
0.235 0.235 0.295
0.752 0.230 0.265
0.230 0.752 0.265
0.752 0.752 0.265
0.758 0.758 0.726
```

Output
As for the space-group type: R3m (160). As for the density of states at the Fermi level: 0.296 states/eV/atom.

=====

Record 5
Crystalline Pr6Te3Pb2S at its relaxed geometry. Source: Alexandria, functional PBE.

Structure (POSCAR):
```
Pr6Te3Pb2S
1.0
4.494 0.000 0.000
0.000 9.037 0.261
-2.247 -2.670 9.471
Pr Te Pb S
6 3 2 1
Direct
0.344 0.920 0.688
0.667 0.579 0.334
0.656 0.080 0.312
0.000 0.225 0.000
0.000 0.775 0.000
0.333 0.421 0.666
0.500 0.500 0.000
0.830 0.165 0.661
0.170 0.835 0.339
0.835 0.670 0.670
0.165 0.330 0.330
0.500 0.000 0.000
```

Output
As for the space-group type: C2/m (12). As for the density of states at the Fermi level: 0.436 states/eV/atom.

=====

Record 6
Crystalline Pr4Te2PbS at its relaxed geometry. Source: Alexandria, functional PBE.

Structure (POSCAR):
```
Pr4Te2PbS
1.0
-1.967 3.363 -2.128
-6.865 -3.090 1.464
1.948 4.830 5.832
Pr Te Pb S
4 2 1 1
Direct
0.500 0.259 0.235
0.500 0.741 0.765
0.000 0.272 0.777
0.000 0.728 0.223
0.500 0.000 0.500
0.000 0.500 0.500
0.000 0.000 0.000
0.500 0.500 0.000
```

Output
As for the space-group type: P2/m (10). As for the density of states at the Fermi level: 0.462 states/eV/atom.

=====

Record 7
Crystalline Pr6Te3PbS2 at its relaxed geometry. Source: Alexandria, functional PBE.

Structure (POSCAR):
```
Pr6Te3PbS2
1.0
4.371 0.000 0.000
0.000 8.908 0.190
-2.185 -2.697 9.317
Pr Te Pb S
6 3 1 2
Direct
0.331 0.886 0.661
0.677 0.563 0.353
0.669 0.114 0.339
0.014 0.256 0.028
0.986 0.744 0.972
0.323 0.437 0.647
0.500 0.500 0.000
0.838 0.169 0.677
0.162 0.831 0.323
0.500 0.000 0.000
0.831 0.664 0.662
0.169 0.336 0.338
```

Output
As for the space-group type: C2/m (12). As for the density of states at the Fermi level: 0.300 states/eV/atom.

=====

Record 8
Crystalline PrTm4PbS8 at its relaxed geometry. Source: Alexandria, functional PBE.

Structure (POSCAR):
```
PrTm4PbS8
1.0
-7.706 -2.243 -0.331
-4.007 -1.618 6.771
-5.817 5.221 2.570
Pr Tm Pb S
1 4 1 8
Direct
0.002 0.002 0.994
0.626 0.626 0.121
0.001 0.495 0.502
0.495 0.001 0.502
0.001 0.001 0.502
0.372 0.372 0.884
0.246 0.787 0.720
0.787 0.246 0.720
0.246 0.246 0.720
0.233 0.233 0.301
0.750 0.232 0.269
0.232 0.750 0.269
0.750 0.750 0.269
0.758 0.758 0.727
```

Output
As for the space-group type: R3m (160). As for the density of states at the Fermi level: 0.304 states/eV/atom.

=====

Record 9
Crystalline Pr3YPb2S at its relaxed geometry. Source: Alexandria, functional PBE.

Structure (POSCAR):
```
Pr3YPb2S
1.0
5.118 0.000 0.000
0.000 5.300 0.000
-2.559 -2.650 8.424
Pr Y Pb S
3 1 2 1
Direct
0.000 0.500 0.000
0.169 0.169 0.338
0.831 0.831 0.662
0.500 0.000 0.000
0.636 0.636 0.272
0.364 0.364 0.728
0.000 0.000 0.000
```

Output
As for the space-group type: Immm (71). As for the density of states at the Fermi level: 0.651 states/eV/atom.

=====

Record 10
Crystalline PrSb2Pb at its relaxed geometry. Source: Alexandria, functional PBE.

Structure (POSCAR):
```
PrSb2Pb
1.0
4.755 0.000 0.000
2.378 4.118 0.000
2.378 1.373 7.094
Pr Sb Pb
1 2 1
Direct
0.668 0.668 0.996
0.082 0.082 0.753
0.255 0.255 0.234
0.495 0.495 0.516
```

Output
Its energy above the most stable polymorph in this dataset is 130.4 meV/atom. As for the space-group type: R3m (160). As for the density of states at the Fermi level: 0.504 states/eV/atom.

=====

Record 11
Crystalline PrSb2Pb at its relaxed geometry. Source: Alexandria, functional PBE.

Structure (POSCAR):
```
PrSb2Pb
1.0
-1.666 2.708 -1.287
-2.953 -0.447 -1.688
-7.797 1.957 9.638
Pb Pr Sb
1 1 2
Direct
0.500 0.500 0.500
0.000 0.000 0.000
0.087 0.087 0.740
0.913 0.913 0.260
```

Output
Its energy above the most stable polymorph in this dataset is 669.5 meV/atom. As for the space-group type: R-3m (166). As for the density of states at the Fermi level: 0.816 states/eV/atom.

=====

Record 12
Crystalline Pr3SbPb2 at its relaxed geometry. Source: Alexandria, functional PBE.

Structure (POSCAR):
```
Pr3SbPb2
1.0
-4.715 -3.230 3.069
5.738 -1.708 7.018
-1.078 7.860 -0.239
Pr Sb Pb
6 2 4
Direct
0.500 0.250 0.000
0.500 0.750 0.000
0.160 0.080 0.319
0.840 0.420 0.681
0.160 0.580 0.319
0.840 0.920 0.681
0.000 0.750 0.000
0.000 0.250 0.000
0.668 0.584 0.336
0.668 0.084 0.336
0.332 0.916 0.664
0.332 0.416 0.664
```

Output
As for the space-group type: Immm (71). As for the density of states at the Fermi level: 0.761 states/eV/atom.

=====

Calculated volume, 28.67 27.15 26.68 28.22 32.32 31.42 30.42 27.12 32.64 34.73 31.57 34.24 Å³/atom (same order as the records).
Calculated mass density, 6.96 6.66 5.07 5.21 7.17 6.99 6.82 5.60 6.96 7.07 7.78 7.75 Mg/m³ (same order as the records).
Calculated E_form (uncorrected), -1.5384 -1.6981 -1.6552 -1.7597 -1.2503 -1.3585 -1.4838 -1.7450 -0.8262 -0.4153 0.1237 -0.6796 eV/atom (same order as the records).